PBE-GGA TbY6Ho8, relaxed; DFT formation energy = 11.9 kJ per mole of atoms; magnetization = 0.0000 μB per atom; electronic total energy = -78.18 eV/cell; space-group type = R-3 (148)
1.0
9.0241 0.0000 0.0000
4.5121 7.8151 0.0000
4.5121 2.6050 6.8398
Ho Y Tb
8 6 1
direct
0.7448 0.7201 0.4247
0.5762 0.5762 0.2714
0.4238 0.4238 0.7286
0.1104 0.7448 0.4247
0.2552 0.2799 0.5753
0.8896 0.2552 0.5753
0.2799 0.8896 0.5753
0.7201 0.1104 0.4247
0.5399 0.1079 0.1223
0.8921 0.7701 0.8777
0.4601 0.8921 0.8777
0.7701 0.4601 0.8777
0.1079 0.2299 0.1223
0.2299 0.5399 0.1223
0.0000 0.0000 0.0000